Cd2InTe: relaxed, PBEsol.

Output
E_form (uncorrected), eV/atom: 0.049
Total energy, eV/cell: -8.708

Cell and atoms, written as POSCAR:
```
Cd2InTe
1.0
3.135 -5.614 0.000
3.135 5.614 0.000
0.000 0.000 2.965
Cd In Te
2 1 1
Direct
0.000 0.500 0.000 Cd
0.500 0.000 0.000 Cd
0.000 0.000 0.000 In
0.500 0.500 0.000 Te
```